# 1
First-principles (PBE-GGA) data for an optimized crystal structure of RbNdSeO, as listed in the Open Quantum Materials Database.

Structure (CIF):
```
data_RbNdSeO
_chemical_formula_sum 'Rb1 Nd1 Se1 O1'
_space_group_name_H-M_alt 'P 1'
_space_group_IT_number 1
_cell_length_a 7.776
_cell_length_b 7.776
_cell_length_c 7.776
_cell_angle_alpha 29.38
_cell_angle_beta 29.38
_cell_angle_gamma 29.38
loop_
_space_group_symop_operation_xyz
'x,y,z'
loop_
_atom_site_label
_atom_site_type_symbol
_atom_site_fract_x
_atom_site_fract_y
_atom_site_fract_z
Rb1 Rb 0.000 0.000 0.000
Nd1 Nd 0.521 0.521 0.521
Se1 Se 0.771 0.771 0.771
O1 O 0.230 0.230 0.230
```

Computed properties:
Calculated total energy ... -22.30 eV per cell
Calculated density ... 5.38 g/cm3

***

# 2
First-principles (PBE-GGA) data for an optimized crystal structure of RbNdSeO, as listed in the Open Quantum Materials Database.

Structure (CIF):
```
data_RbNdSeO
_chemical_formula_sum 'Rb4 Nd4 Se4 O4'
_space_group_name_H-M_alt 'P 1'
_space_group_IT_number 1
_cell_length_a 8.126
_cell_length_b 7.762
_cell_length_c 6.870
_cell_angle_alpha 90.00
_cell_angle_beta 102.49
_cell_angle_gamma 90.00
loop_
_space_group_symop_operation_xyz
'x,y,z'
loop_
_atom_site_label
_atom_site_type_symbol
_atom_site_fract_x
_atom_site_fract_y
_atom_site_fract_z
Rb1 Rb 0.088 0.229 0.498
Rb2 Rb 0.088 0.271 0.998
Rb3 Rb 0.912 0.729 0.002
Rb4 Rb 0.912 0.771 0.502
Nd1 Nd 0.473 0.628 0.777
Nd2 Nd 0.473 0.872 0.277
Nd3 Nd 0.527 0.128 0.723
Nd4 Nd 0.527 0.372 0.223
Se1 Se 0.246 0.587 0.354
Se2 Se 0.246 0.913 0.854
Se3 Se 0.754 0.087 0.146
Se4 Se 0.754 0.413 0.646
O1 O 0.407 0.148 0.384
O2 O 0.407 0.352 0.884
O3 O 0.593 0.648 0.116
O4 O 0.593 0.852 0.616
```

Computed properties:
Calculated total energy ... -91.29 eV per cell
Calculated density ... 5.10 g/cm3

***

# 3
First-principles (PBE-GGA) data for an optimized crystal structure of RbNdSeO, as listed in the Open Quantum Materials Database.

Structure (CIF):
```
data_RbNdSeO
_chemical_formula_sum 'Rb2 Nd2 Se2 O2'
_space_group_name_H-M_alt 'P 1'
_space_group_IT_number 1
_cell_length_a 4.317
_cell_length_b 4.317
_cell_length_c 10.377
_cell_angle_alpha 90.00
_cell_angle_beta 90.00
_cell_angle_gamma 90.00
loop_
_space_group_symop_operation_xyz
'x,y,z'
loop_
_atom_site_label
_atom_site_type_symbol
_atom_site_fract_x
_atom_site_fract_y
_atom_site_fract_z
Rb1 Rb 0.250 0.750 0.000
Rb2 Rb 0.750 0.250 0.000
Nd1 Nd 0.250 0.250 0.401
Nd2 Nd 0.750 0.750 0.599
Se1 Se 0.250 0.250 0.767
Se2 Se 0.750 0.750 0.233
O1 O 0.250 0.750 0.500
O2 O 0.750 0.250 0.500
```

Computed properties:
Calculated total energy ... -43.89 eV per cell
Calculated density ... 5.58 g/cm3

***

# 4
First-principles (PBE-GGA) data for an optimized crystal structure of Rb2TbNdO4, as listed in the Open Quantum Materials Database.

Structure (CIF):
```
data_Rb2TbNdO4
_chemical_formula_sum 'Rb2 Tb1 Nd1 O4'
_space_group_name_H-M_alt 'P 1'
_space_group_IT_number 1
_cell_length_a 3.557
_cell_length_b 3.557
_cell_length_c 12.967
_cell_angle_alpha 90.00
_cell_angle_beta 90.00
_cell_angle_gamma 120.00
loop_
_space_group_symop_operation_xyz
'x,y,z'
loop_
_atom_site_label
_atom_site_type_symbol
_atom_site_fract_x
_atom_site_fract_y
_atom_site_fract_z
Rb1 Rb 0.333 0.667 0.253
Rb2 Rb 0.667 0.333 0.747
Tb1 Tb 0.000 0.000 0.500
Nd1 Nd 0.000 0.000 0.000
O1 O 0.333 0.667 0.588
O2 O 0.333 0.667 0.905
O3 O 0.667 0.333 0.095
O4 O 0.667 0.333 0.412
```

Computed properties:
Calculated total energy ... -51.99 eV per cell
Calculated density ... 6.29 g/cm3

***

# 5
First-principles (PBE-GGA) data for an optimized crystal structure of RbNdTeO, as listed in the Open Quantum Materials Database.

Structure (CIF):
```
data_RbNdTeO
_chemical_formula_sum 'Rb2 Nd2 Te2 O2'
_space_group_name_H-M_alt 'P 1'
_space_group_IT_number 1
_cell_length_a 4.948
_cell_length_b 8.798
_cell_length_c 7.122
_cell_angle_alpha 90.00
_cell_angle_beta 90.00
_cell_angle_gamma 90.00
loop_
_space_group_symop_operation_xyz
'x,y,z'
loop_
_atom_site_label
_atom_site_type_symbol
_atom_site_fract_x
_atom_site_fract_y
_atom_site_fract_z
Rb1 Rb 0.000 0.211 0.000
Rb2 Rb 0.000 0.789 0.500
Nd1 Nd 0.500 0.389 0.404
Nd2 Nd 0.500 0.611 0.904
Te1 Te 0.000 0.199 0.509
Te2 Te 0.000 0.801 0.009
O1 O 0.500 0.415 0.095
O2 O 0.500 0.585 0.595
```

Computed properties:
Calculated total energy ... -42.87 eV per cell
Calculated density ... 4.00 g/cm3

***

# 6
First-principles (PBE-GGA) data for an optimized crystal structure of RbNdTeO, as listed in the Open Quantum Materials Database.

Structure (CIF):
```
data_RbNdTeO
_chemical_formula_sum 'Rb1 Nd1 Te1 O1'
_space_group_name_H-M_alt 'P 1'
_space_group_IT_number 1
_cell_length_a 8.126
_cell_length_b 8.126
_cell_length_c 8.126
_cell_angle_alpha 28.74
_cell_angle_beta 28.74
_cell_angle_gamma 28.74
loop_
_space_group_symop_operation_xyz
'x,y,z'
loop_
_atom_site_label
_atom_site_type_symbol
_atom_site_fract_x
_atom_site_fract_y
_atom_site_fract_z
Rb1 Rb 0.000 0.000 0.000
Nd1 Nd 0.469 0.469 0.469
Te1 Te 0.225 0.225 0.225
O1 O 0.763 0.763 0.763
```

Computed properties:
Calculated total energy ... -20.95 eV per cell
Calculated density ... 5.65 g/cm3

***

# 7
First-principles (PBE-GGA) data for an optimized crystal structure of RbNdTeO, as listed in the Open Quantum Materials Database.

Structure (CIF):
```
data_RbNdTeO
_chemical_formula_sum 'Rb4 Nd4 Te4 O4'
_space_group_name_H-M_alt 'P 1'
_space_group_IT_number 1
_cell_length_a 9.642
_cell_length_b 7.739
_cell_length_c 6.950
_cell_angle_alpha 90.00
_cell_angle_beta 102.94
_cell_angle_gamma 90.00
loop_
_space_group_symop_operation_xyz
'x,y,z'
loop_
_atom_site_label
_atom_site_type_symbol
_atom_site_fract_x
_atom_site_fract_y
_atom_site_fract_z
Rb1 Rb 0.134 0.083 0.312
Rb2 Rb 0.134 0.417 0.812
Rb3 Rb 0.866 0.583 0.188
Rb4 Rb 0.866 0.917 0.688
Nd1 Nd 0.489 0.639 0.788
Nd2 Nd 0.489 0.861 0.288
Nd3 Nd 0.511 0.139 0.712
Nd4 Nd 0.511 0.361 0.212
Te1 Te 0.253 0.570 0.355
Te2 Te 0.253 0.930 0.855
Te3 Te 0.747 0.070 0.145
Te4 Te 0.747 0.430 0.645
O1 O 0.429 0.139 0.380
O2 O 0.429 0.361 0.880
O3 O 0.571 0.639 0.120
O4 O 0.571 0.861 0.620
```

Computed properties:
Calculated total energy ... -88.23 eV per cell
Calculated density ... 4.91 g/cm3

***

# 8
First-principles (PBE-GGA) data for an optimized crystal structure of RbNdTeO, as listed in the Open Quantum Materials Database.

Structure (CIF):
```
data_RbNdTeO
_chemical_formula_sum 'Rb2 Nd2 Te2 O2'
_space_group_name_H-M_alt 'P 1'
_space_group_IT_number 1
_cell_length_a 4.426
_cell_length_b 4.426
_cell_length_c 10.962
_cell_angle_alpha 90.00
_cell_angle_beta 90.00
_cell_angle_gamma 90.00
loop_
_space_group_symop_operation_xyz
'x,y,z'
loop_
_atom_site_label
_atom_site_type_symbol
_atom_site_fract_x
_atom_site_fract_y
_atom_site_fract_z
Rb1 Rb 0.250 0.750 0.000
Rb2 Rb 0.750 0.250 0.000
Nd1 Nd 0.250 0.250 0.412
Nd2 Nd 0.750 0.750 0.588
Te1 Te 0.250 0.250 0.760
Te2 Te 0.750 0.750 0.240
O1 O 0.250 0.750 0.500
O2 O 0.750 0.250 0.500
```

Computed properties:
Calculated total energy ... -42.33 eV per cell
Calculated density ... 5.77 g/cm3

***

# 9
First-principles (PBE-GGA) data for an optimized crystal structure of Rb2NdYO4, as listed in the Open Quantum Materials Database.

Structure (CIF):
```
data_Rb2NdYO4
_chemical_formula_sum 'Rb2 Nd1 Y1 O4'
_space_group_name_H-M_alt 'P 1'
_space_group_IT_number 1
_cell_length_a 3.551
_cell_length_b 3.551
_cell_length_c 12.950
_cell_angle_alpha 90.00
_cell_angle_beta 90.00
_cell_angle_gamma 120.00
loop_
_space_group_symop_operation_xyz
'x,y,z'
loop_
_atom_site_label
_atom_site_type_symbol
_atom_site_fract_x
_atom_site_fract_y
_atom_site_fract_z
Rb1 Rb 0.333 0.667 0.247
Rb2 Rb 0.667 0.333 0.753
Nd1 Nd 0.000 0.000 0.500
Y1 Y 0.000 0.000 0.000
O1 O 0.333 0.667 0.595
O2 O 0.333 0.667 0.913
O3 O 0.667 0.333 0.087
O4 O 0.667 0.333 0.405
```

Computed properties:
Calculated total energy ... -53.79 eV per cell
Calculated density ... 5.49 g/cm3

***

- Number 4 is which compound?
  Rb2TbNdO4

***

- What is the formula in the eighth record?
  RbNdTeO

***

What did the ninth record say?
First-principles (PBE-GGA) data for an optimized crystal structure of Rb2NdYO4, as listed in the Open Quantum Materials Database.

Structure (CIF):
```
data_Rb2NdYO4
_chemical_formula_sum 'Rb2 Nd1 Y1 O4'
_space_group_name_H-M_alt 'P 1'
_space_group_IT_number 1
_cell_length_a 3.551
_cell_length_b 3.551
_cell_length_c 12.950
_cell_angle_alpha 90.00
_cell_angle_beta 90.00
_cell_angle_gamma 120.00
loop_
_space_group_symop_operation_xyz
'x,y,z'
loop_
_atom_site_label
_atom_site_type_symbol
_atom_site_fract_x
_atom_site_fract_y
_atom_site_fract_z
Rb1 Rb 0.333 0.667 0.247
Rb2 Rb 0.667 0.333 0.753
Nd1 Nd 0.000 0.000 0.500
Y1 Y 0.000 0.000 0.000
O1 O 0.333 0.667 0.595
O2 O 0.333 0.667 0.913
O3 O 0.667 0.333 0.087
O4 O 0.667 0.333 0.405
```

Computed properties:
Calculated total energy ... -53.79 eV per cell
Calculated density ... 5.49 g/cm3